(1)
## KB (PBE-GGA)

Data for a relaxed structure of KB.

## Properties
Space-group type: No. 223
Energy of formation from the pure elements: 2.2851 eV/atom
Fermi-level density of states: 2.14 states/eV/atom
Spin magnetization: 2.002 μB per formula unit

Lattice parameters (Å, degrees): 8.755 8.755 8.755 90.00 90.00 90.00
Fractional positions:
K: 0.000 0.250 0.500
K: 0.000 0.750 0.500
K: 0.250 0.500 0.000
K: 0.500 0.000 0.250
K: 0.500 0.000 0.750
K: 0.750 0.500 0.000
B: 0.000 0.500 0.250
B: 0.000 0.500 0.750
B: 0.250 0.000 0.500
B: 0.500 0.250 0.000
B: 0.500 0.750 0.000
B: 0.750 0.000 0.500

(2)
## Ho3Ga8Pt3 (PBE-GGA)

Data for a relaxed structure of Ho3Ga8Pt3.

## Properties
Space-group type: No. 12
Energy of formation from the pure elements: -0.7879 eV/atom
Fermi-level density of states: 0.34 states/eV/atom
Spin magnetization: 0.000 μB per formula unit

Lattice parameters (Å, degrees): 8.101 8.101 9.413 124.65 124.65 30.92
Fractional positions:
Ho: 0.000 0.000 0.000
Ho: 0.292 0.292 0.289
Ho: 0.708 0.708 0.711
Ga: 0.143 0.143 0.431
Ga: 0.150 0.150 0.866
Ga: 0.345 0.345 0.715
Ga: 0.500 0.500 0.325
Ga: 0.500 0.500 0.675
Ga: 0.655 0.655 0.285
Ga: 0.850 0.850 0.134
Ga: 0.857 0.857 0.569
Pt: 0.000 0.000 0.500
Pt: 0.354 0.354 0.993
Pt: 0.646 0.646 0.007

(3)
## La2TbNdTm5 (PBE-GGA)

Data for a relaxed structure of La2TbNdTm5.

## Properties
Space-group type: No. 140
Energy of formation from the pure elements: 0.2521 eV/atom
Fermi-level density of states: 1.26 states/eV/atom
Spin magnetization: 0.000 μB per formula unit

Lattice parameters (Å, degrees): 9.943 9.943 9.943 128.73 128.73 75.45
Fractional positions:
La: 0.118 0.618 0.736
La: 0.382 0.118 0.500
La: 0.618 0.882 0.500
La: 0.882 0.382 0.264
Tb: 0.250 0.250 0.000
Tb: 0.750 0.750 0.000
Nd: 0.250 0.750 0.500
Nd: 0.750 0.250 0.500
Tm: 0.000 0.000 0.000
Tm: 0.072 0.145 0.500
Tm: 0.145 0.645 0.072
Tm: 0.355 0.428 0.500
Tm: 0.428 0.928 0.072
Tm: 0.500 0.500 0.000
Tm: 0.572 0.072 0.928
Tm: 0.645 0.572 0.500
Tm: 0.855 0.355 0.928
Tm: 0.928 0.855 0.500

(4)
## YHo5Al6 (PBE-GGA)

Data for a relaxed structure of YHo5Al6.

## Properties
Space-group type: No. 65
Energy of formation from the pure elements: -0.4005 eV/atom
Fermi-level density of states: 0.37 states/eV/atom
Spin magnetization: 0.000 μB per formula unit

Lattice parameters (Å, degrees): 8.019 8.019 7.176 90.00 90.00 143.15
Fractional positions:
Y: 0.000 0.000 0.000
Ho: 0.000 0.000 0.500
Ho: 0.333 0.667 0.000
Ho: 0.334 0.666 0.500
Ho: 0.666 0.334 0.500
Ho: 0.667 0.333 0.000
Al: 0.167 0.833 0.251
Al: 0.167 0.833 0.749
Al: 0.500 0.500 0.251
Al: 0.500 0.500 0.749
Al: 0.833 0.167 0.251
Al: 0.833 0.167 0.749

(5)
## Tb2Ho3TmBi6 (PBE-GGA)

Data for a relaxed structure of Tb2Ho3TmBi6.

## Properties
Space-group type: No. 12
Energy of formation from the pure elements: -0.8413 eV/atom
Fermi-level density of states: 0.17 states/eV/atom
Spin magnetization: 0.000 μB per formula unit

Lattice parameters (Å, degrees): 9.978 9.978 8.927 102.86 102.86 25.84
Fractional positions:
Tb: 0.166 0.166 0.333
Tb: 0.834 0.834 0.667
Ho: 0.167 0.167 0.834
Ho: 0.500 0.500 0.500
Ho: 0.833 0.833 0.166
Tm: 0.500 0.500 0.000
Bi: 0.001 0.001 0.752
Bi: 0.334 0.334 0.415
Bi: 0.334 0.334 0.919
Bi: 0.666 0.666 0.081
Bi: 0.666 0.666 0.585
Bi: 0.999 0.999 0.248

(6)
## RbCuSn2 (PBE-GGA)

Data for a relaxed structure of RbCuSn2.

## Properties
Space-group type: No. 160
Energy of formation from the pure elements: -0.1288 eV/atom
Fermi-level density of states: 0.22 states/eV/atom
Spin magnetization: 0.000 μB per formula unit

Lattice parameters (Å, degrees): 7.937 7.937 7.937 32.28 32.28 32.28
Fractional positions:
Rb: 0.000 0.000 0.000
Cu: 0.171 0.171 0.171
Sn: 0.544 0.544 0.544
Sn: 0.793 0.793 0.793

(7)
## ScPaTcSn (PBE-GGA)

Data for a relaxed structure of ScPaTcSn.

## Properties
Space-group type: No. 216
Energy of formation from the pure elements: -0.2640 eV/atom
Fermi-level density of states: 0.63 states/eV/atom
Spin magnetization: 0.883 μB per formula unit

Lattice parameters (Å, degrees): 4.848 4.848 4.848 60.00 60.00 60.00
Fractional positions:
Sc: 0.000 0.000 0.000
Pa: 0.750 0.750 0.750
Tc: 0.500 0.500 0.500
Sn: 0.250 0.250 0.250

(8)
## Al2NiPb (PBE-GGA)

Data for a relaxed structure of Al2NiPb.

## Properties
Space-group type: No. 6
Energy of formation from the pure elements: 0.0511 eV/atom
Fermi-level density of states: 0.56 states/eV/atom
Spin magnetization: 0.000 μB per formula unit

Lattice parameters (Å, degrees): 3.557 4.114 5.555 90.00 107.95 90.00
Fractional positions:
Al: 0.000 0.000 0.000
Al: 0.454 0.500 0.907
Ni: 0.113 0.500 0.233
Pb: 0.720 0.000 0.463